14
Lattice="5.479 -3.813 0.000 5.479 3.813 0.000 -2.862 0.000 6.530" Properties=species:S:1:pos:R:3 comment="BiWClO4 | Alexandria | GGA+U | optimized geometry" final_energy_ev_per_cell=-87.92 pbc="T T T"
Bi 1.930 0.000 1.083
Bi 6.167 0.000 5.447
W 1.865 0.000 5.041
W 6.232 0.000 1.489
Cl -0.625 0.000 1.637
Cl 8.722 0.000 4.893
O 0.835 1.494 5.200
O 2.303 0.000 3.268
O 4.494 0.000 0.778
O 0.835 -1.494 5.200
O 7.262 1.494 1.330
O 3.603 0.000 5.752
O 5.794 0.000 3.262
O 7.262 -1.494 1.330